Entry 1:
The following is a PBE calculation of crystalline NaIrRu at its relaxed geometry, from the Alexandria database.

Values from the calculation:
Energy above the lowest structure with this stoichiometry in meV per atom: 73.2
SG: C2 (5)
Density in g/cm3: 10.6

Unit cell a=5.533 b=5.533 c=4.685 alpha=104.88 beta=104.88 gamma=124.39
Positions (direct):
Na  0.153  0.153  0.306
Na  0.847  0.847  0.694
Ir  0.251  0.749  0.500
Ir  0.373  0.627  0.000
Ru  0.628  0.372  0.000
Ru  0.750  0.250  0.500

=====

Entry 2:
The following is a PBE calculation of crystalline Ba5GeSe8 at its relaxed geometry, from the Alexandria database.

Values from the calculation:
SG: I-4 (82)
Density in g/cm3: 4.7
Raw formation energy in eV per atom: -1.294

Unit cell a=8.670 b=8.670 c=8.670 alpha=114.76 beta=114.76 gamma=99.34
Positions (direct):
Ba  0.000  0.000  0.000
Ba  0.238  0.641  0.123
Ba  0.359  0.482  0.597
Ba  0.518  0.115  0.877
Ba  0.885  0.762  0.403
Ge  0.750  0.250  0.500
Se  0.061  0.253  0.664
Se  0.189  0.778  0.791
Se  0.222  0.013  0.411
Se  0.590  0.397  0.336
Se  0.601  0.811  0.589
Se  0.603  0.939  0.192
Se  0.747  0.410  0.808
Se  0.987  0.399  0.209

=====

Entry 3:
The following is a PBE calculation of crystalline SrAl2Zn4Ag at its relaxed geometry, from the Alexandria database.

Values from the calculation:
DFT total energy in eV/cell: -17.78
SG: R-3m (166)
Density in g/cm3: 5.4

Unit cell a=9.887 b=9.887 c=9.887 alpha=25.55 beta=25.55 gamma=25.55
Positions (direct):
Sr  0.000  0.000  0.000
Al  0.240  0.240  0.240
Al  0.760  0.760  0.760
Zn  0.128  0.128  0.128
Zn  0.405  0.405  0.405
Zn  0.595  0.595  0.595
Zn  0.872  0.872  0.872
Ag  0.500  0.500  0.500

=====

Entry 4:
The following is a PBE calculation of crystalline ZrCuRe2 at its relaxed geometry, from the Alexandria database.

Values from the calculation:
Energy above the lowest structure with this stoichiometry in meV per atom: 0.0
SG: P4mm (99)
Density in g/cm3: 13.4

Unit cell a=3.099 b=3.099 c=6.777 alpha=90.00 beta=90.00 gamma=90.00
Positions (direct):
Zr  0.000  0.000  0.000
Cu  0.500  0.500  0.274
Re  0.000  0.000  0.500
Re  0.500  0.500  0.710

=====

> Among the records above, which one has the highest density?

ZrCuRe2